{"formula": "MnCr2Re", "functional": "PBE-GGA", "state": "relaxed", "formation_energy_ev_per_fu": 0.2, "mass_density_kg_m3": 11684, "spacegroup": "P4mm, No. 99", "lattice_angstrom": [[-1.2946, 0.1968, -2.5473], [-2.2667, -1.4062, 1.0433], [-2.4610, 5.1925, 1.6520]], "species": ["Cr", "Mn", "Cr", "Re"], "frac_coords": [[0.5000, 0.5000, 0.2420], [0.0000, 0.0000, 0.4832], [0.0000, 0.0000, 0.0268], [0.5000, 0.5000, 0.7480]]}